# ThGaB, optimized geometry, DFT PBE
# Energy, eV per atom: -5.01
# Excess energy over the best structure of this formula in the dataset, meV/atom: 692
data_ThGaB
_cell_length_a 6.325
_cell_length_b 6.325
_cell_length_c 6.325
_cell_angle_alpha 90.00
_cell_angle_beta 90.00
_cell_angle_gamma 90.00
_symmetry_space_group_name_H-M 'F -4 3 m'
_symmetry_Int_Tables_number 216
_symmetry_space_group_name_Hall 'F -4 2 3'
loop_
_atom_site_label
_atom_site_fract_x
_atom_site_fract_y
_atom_site_fract_z
Th1 0.000 0.000 0.000
Ga1 0.250 0.250 0.750
B1 0.000 0.000 0.500

---

# LuSnIr, optimized geometry, DFT PBE
# Energy, eV per atom: -6.01
data_LuSnIr
_cell_length_a 4.8764
_cell_length_b 4.8764
_cell_length_c 5.9038
_cell_angle_alpha 90.00
_cell_angle_beta 90.00
_cell_angle_gamma 120.00
_symmetry_space_group_name_H-M 'P 63/m m c'
_symmetry_Int_Tables_number 194
_symmetry_space_group_name_Hall '-P 6c 2c'
loop_
_atom_site_label
_atom_site_fract_x
_atom_site_fract_y
_atom_site_fract_z
Lu1 0.3333 0.6667 0.2500
Sn1 0.3333 0.6667 0.7500
Ir1 0.0000 0.0000 0.0000

---

# La2P2IrPdO2, optimized geometry, DFT PBE
# Energy, eV per atom: -7.53
data_La2P2IrPdO2
_cell_length_a 4.123
_cell_length_b 4.123
_cell_length_c 8.358
_cell_angle_alpha 90.00
_cell_angle_beta 90.00
_cell_angle_gamma 90.00
_symmetry_space_group_name_H-M 'P -4 m 2'
_symmetry_Int_Tables_number 115
_symmetry_space_group_name_Hall 'P -4 -2'
loop_
_atom_site_label
_atom_site_fract_x
_atom_site_fract_y
_atom_site_fract_z
La1 0.000 0.500 0.143
P1 0.000 0.500 0.645
Ir1 0.000 0.000 0.500
Pd1 0.500 0.500 0.500
O1 0.000 0.000 0.000
O2 0.500 0.500 0.000

---

# BePd, optimized geometry, DFT PBE
# Energy, eV per atom: -4.19
data_BePd
_cell_length_a 4.960
_cell_length_b 4.960
_cell_length_c 4.960
_cell_angle_alpha 90.00
_cell_angle_beta 90.00
_cell_angle_gamma 90.00
_symmetry_space_group_name_H-M 'F -4 3 m'
_symmetry_Int_Tables_number 216
_symmetry_space_group_name_Hall 'F -4 2 3'
loop_
_atom_site_label
_atom_site_fract_x
_atom_site_fract_y
_atom_site_fract_z
Be1 0.000 0.000 0.000
Pd1 0.250 0.250 0.750

---

# LaSiNiGe2, optimized geometry, DFT PBE
# Energy, eV per atom: -5.68
data_LaSiNiGe2
_cell_length_a 4.381
_cell_length_b 4.381
_cell_length_c 9.589
_cell_angle_alpha 90.00
_cell_angle_beta 90.00
_cell_angle_gamma 90.00
_symmetry_space_group_name_H-M 'I 4 m m'
_symmetry_Int_Tables_number 107
_symmetry_space_group_name_Hall 'I 4 -2'
loop_
_atom_site_label
_atom_site_fract_x
_atom_site_fract_y
_atom_site_fract_z
La1 0.000 0.000 0.000
Si1 0.000 0.000 0.411
Ni1 0.000 0.000 0.648
Ge1 0.000 0.500 0.256

---

Q: Among the records above, which one has the highest energy?
A: BePd